# Cu2AgAu

Cu2AgAu after structural relaxation (PBE, the Alexandria database).

Summary:
Calculated formation energy: 0.04 eV/atom
Spin magnetization: 0.0 μB/f.u.

a = 2.800 Å, b = 4.246 Å, c = 5.274 Å
α = 90.00°, β = 105.33°, γ = 90.00°
Atoms (fractional coordinates):
Cu  0.000  0.000  0.000
Cu  0.136  0.500  0.265
Ag  0.736  0.000  0.469
Au  0.401  0.500  0.797